VASP calculation (GGA+U) on a relaxed VWF2 crystal.

Lattice parameters (Å, degrees): 5.4122 5.4122 11.5910 90.00 90.00 90.00
Space group I-42d (No. 122)
One atom of each set of equivalent atoms:
1 V 0.0000 0.0000 0.0000
2 W 0.0000 0.0000 0.5000
3 F 0.0906 0.2500 0.1250

Calculated values
- Energy above the lowest structure with this stoichiometry: 0.022 eV/atom